## P
Here is crystalline TlHg2Cl at its relaxed geometry from the Alexandria database. Energies are from PBE.

Unit cell a=4.482 b=4.347 c=7.047 alpha=90.00 beta=108.25 gamma=90.00
Atoms (fractional coordinates):
Tl1 0.000 0.000 0.000
Hg1 0.206 0.500 0.420
Hg2 0.750 0.000 0.510
Cl1 0.455 0.500 0.912

Properties
As for the space group: Pm. The value obtained for the calculated volume is 130.4 Å³/cell.

=====

## Q
Here is crystalline TlHg2Cl at its relaxed geometry from the Alexandria database. Energies are from PBE.

Unit cell a=9.072 b=9.072 c=6.195 alpha=90.00 beta=90.00 gamma=90.00
Atoms (fractional coordinates):
Tl1 0.000 0.000 0.000
Tl2 0.000 0.500 0.250
Tl3 0.500 0.000 0.750
Tl4 0.500 0.500 0.500
Hg1 0.249 0.250 0.125
Hg2 0.250 0.749 0.375
Hg3 0.250 0.751 0.875
Hg4 0.251 0.250 0.625
Hg5 0.749 0.750 0.625
Hg6 0.750 0.249 0.875
Hg7 0.750 0.251 0.375
Hg8 0.751 0.750 0.125
Cl1 0.000 0.000 0.500
Cl2 0.000 0.500 0.750
Cl3 0.500 0.000 0.250
Cl4 0.500 0.500 0.000

Properties
As for the space group: I-42d. The value obtained for the calculated volume is 509.8 Å³/cell.

=====

## R
Here is crystalline TlHg2Cl at its relaxed geometry from the Alexandria database. Energies are from PBE.

Unit cell a=12.777 b=4.512 c=4.495 alpha=90.00 beta=106.54 gamma=90.00
Atoms (fractional coordinates):
Tl1 0.000 0.000 0.000
Tl2 0.500 0.500 0.000
Hg1 0.250 0.000 0.748
Hg2 0.250 0.500 0.252
Hg3 0.750 0.000 0.252
Hg4 0.750 0.500 0.748
Cl1 0.000 0.500 0.500
Cl2 0.500 0.000 0.500

Properties
As for the space group: C2/m. The value obtained for the calculated volume is 248.4 Å³/cell.

=====

## S
Here is crystalline TlHg2Cl at its relaxed geometry from the Alexandria database. Energies are from PBE.

Unit cell a=4.528 b=4.537 c=12.731 alpha=90.00 beta=100.07 gamma=90.00
Atoms (fractional coordinates):
Tl1 0.185 0.250 0.367
Tl2 0.815 0.750 0.633
Hg1 0.050 0.750 0.098
Hg2 0.429 0.750 0.861
Hg3 0.571 0.250 0.139
Hg4 0.950 0.250 0.902
Cl1 0.303 0.250 0.607
Cl2 0.697 0.750 0.393

Properties
As for the space group: P2_1/m. The value obtained for the calculated volume is 257.5 Å³/cell.

=====

Which one is most stable, and which one is least stable? S is the most stable of them, while Q is the least stable.

=====

## P
Here is crystalline TlHg2Cl at its relaxed geometry from the Alexandria database. Energies are from PBE.

Unit cell a=5.521 b=5.521 c=7.870 alpha=90.00 beta=90.00 gamma=90.00
Atoms (fractional coordinates):
Tl1 0.000 0.000 0.000
Tl2 0.500 0.500 0.500
Hg1 0.000 0.000 0.500
Hg2 0.000 0.500 0.250
Hg3 0.500 0.000 0.750
Hg4 0.500 0.500 0.000
Cl1 0.000 0.500 0.750
Cl2 0.500 0.000 0.250

Properties
As for the space group: I-4m2. The value obtained for the calculated volume is 239.9 Å³/cell.

=====

## Q
Here is crystalline TlHg2Cl at its relaxed geometry from the Alexandria database. Energies are from PBE.

Unit cell a=4.519 b=4.519 c=6.041 alpha=90.00 beta=90.00 gamma=90.00
Atoms (fractional coordinates):
Tl1 0.000 0.000 0.000
Hg1 0.000 0.500 0.500
Hg2 0.500 0.000 0.500
Cl1 0.500 0.500 0.000

Properties
As for the space group: P4/mmm. The value obtained for the calculated volume is 123.4 Å³/cell.

=====

Which one is most stable, and which one is least stable? Q is the most stable of them, while P is the least stable.